(P)
## LiInBr (GGA-PBE)

Data for a geometry-optimized LiInBr structure.

abc: 6.9915 6.9915 6.9915
angles: 90.00 90.00 90.00
Last column: nearest neighbours and their distance in Å.
Space group F-43m (No. 216)
Symmetry-distinct sites (fractional):
Li: 0.0000 0.0000 0.0000  4 In 3.03, 4 Br 3.03
In: 0.2500 0.2500 0.2500  4 Li 3.03
Br: 0.2500 0.2500 0.7500  4 Li 3.03

Values from the calculation:
The total magnetization comes out at 0.00 μB/cell.

=====

(Q)
## LiInBr (GGA-PBE)

Data for a geometry-optimized LiInBr structure.

abc: 3.7918 3.7918 6.3536
angles: 90.00 90.00 120.00
Last column: nearest neighbours and their distance in Å.
Space group P3m1 (No. 156)
Symmetry-distinct sites (fractional):
Li: 0.0000 0.0000 0.0000  3 Br 2.46
In: 0.6667 0.3333 0.3715  3 Li 3.22
Br: 0.3333 0.6667 0.8240  3 Li 2.46

Values from the calculation:
The total magnetization comes out at 0.00 μB/cell.

=====

(R)
## LiInBr (GGA-PBE)

Data for a geometry-optimized LiInBr structure.

abc: 12.3335 3.6544 6.5987
angles: 90.00 90.00 90.00
Last column: nearest neighbours and their distance in Å.
Space group Amm2 (No. 38)
Symmetry-distinct sites (fractional):
Li: 0.0000 0.0000 0.0000  6 In 2.89-2.97
Li: 0.5000 0.0000 0.1016  6 Br 2.72-2.78
In: 0.1622 0.0000 0.3156  3 Li 2.89-2.97, 2 Br 3.06
Br: 0.3607 0.0000 0.7831  3 Li 2.72-2.78

Values from the calculation:
The total magnetization comes out at 0.00 μB/cell.

=====

(S)
## LiInBr (GGA-PBE)

Data for a geometry-optimized LiInBr structure.

abc: 4.9383 4.9589 13.4618
angles: 90.00 90.00 90.00
Last column: nearest neighbours and their distance in Å.
Space group Fmm2 (No. 42)
Symmetry-distinct sites (fractional):
Li: 0.0000 0.0000 0.0000  4 Br 2.56-2.57
In: 0.0000 0.0000 0.3056  1 Br 3.29, 4 In 3.50, 4 Li 3.60-3.61
Br: 0.0000 0.0000 0.5502  4 Li 2.56-2.57

Values from the calculation:
The total magnetization comes out at 0.00 μB/cell.

=====

So which one wins? Going from most stable to least: (S), (Q), (R), (P).